Computed, not measured: an optimized crystal structure of La2SmAl2Zn2 at the PBE level of DFT.

Cell: 9.7124 9.7124 9.7124 Å, 26.94 26.94 26.94°
With the nearest neighbours (Å) after each atom.
Element x y z (fractional)
La 0.1356 0.1356 0.1356  3 La 3.14, 3 Al 3.23, 3 Zn 3.26
La 0.8644 0.8644 0.8644  3 La 3.14, 3 Al 3.23, 3 Zn 3.26
Sm 0.0000 0.0000 0.0000  6 Zn 3.20, 6 Al 3.23
Al 0.2654 0.2654 0.2654  3 Zn 2.61
Al 0.7346 0.7346 0.7346  3 Zn 2.61
Zn 0.3993 0.3993 0.3993  3 Al 2.61
Zn 0.6007 0.6007 0.6007  3 Al 2.61

## Properties
For the energy of formation, the calculation gives -339 meV/atom. Its magnetization is 0.00 μB per atom. As for the space-group type: No. 166.